Record 1
# Be2SiTe (PBE, optimized geometry)
data_Be2SiTe
_cell_length_a 6.801
_cell_length_b 3.830
_cell_length_c 5.468
_cell_angle_alpha 90.00
_cell_angle_beta 98.61
_cell_angle_gamma 90.00
_symmetry_space_group_name_H-M 'C 1 2/m 1'
_symmetry_Int_Tables_number 12
loop_
_symmetry_equiv_pos_as_xyz
'x,y,z'
'-x,-y,-z'
'-x,y,-z'
'x,-y,z'
'x+1/2,y+1/2,z'
'-x+1/2,-y+1/2,-z'
'-x+1/2,y+1/2,-z'
'x+1/2,-y+1/2,z'
loop_
_atom_site_label
_atom_site_fract_x
_atom_site_fract_y
_atom_site_fract_z
Be1 0.159 0.000 0.430
Si1 0.000 0.500 0.500
Te1 0.000 0.000 0.000
# E_form (uncorrected): 0.34 eV/atom
# E: -3.67 eV per atom
# Excess energy over the best structure of this formula in the dataset: 0.34 eV per formula unit

Record 2
# Hf3MoAu (PBE, optimized geometry)
data_Hf3MoAu
_cell_length_a 4.978
_cell_length_b 4.978
_cell_length_c 4.978
_cell_angle_alpha 90.00
_cell_angle_beta 90.00
_cell_angle_gamma 90.00
_symmetry_space_group_name_H-M 'P m -3 m'
_symmetry_Int_Tables_number 221
_symmetry_space_group_name_Hall '-P 4 2 3'
loop_
_atom_site_label
_atom_site_fract_x
_atom_site_fract_y
_atom_site_fract_z
Hf1 0.000 0.000 0.500
Mo1 0.000 0.000 0.000
Au1 0.500 0.500 0.500
# DFT formation energy: 74 kJ per mole of atoms
# E: -8.03 eV per atom
# Excess energy over the best structure of this formula in the dataset: 0.00 eV per formula unit

Record 3
# CaTlGaHg (PBE, optimized geometry)
data_CaTlGaHg
_cell_length_a 7.371
_cell_length_b 7.371
_cell_length_c 7.371
_cell_angle_alpha 90.00
_cell_angle_beta 90.00
_cell_angle_gamma 90.00
_symmetry_space_group_name_H-M 'F -4 3 m'
_symmetry_Int_Tables_number 216
_symmetry_space_group_name_Hall 'F -4 2 3'
loop_
_atom_site_label
_atom_site_fract_x
_atom_site_fract_y
_atom_site_fract_z
Ca1 0.000 0.000 0.000
Tl1 0.250 0.250 0.750
Ga1 0.000 0.000 0.500
Hg1 0.250 0.250 0.250
# DFT formation energy: -24 kJ per mole of atoms
# E: -2.18 eV per atom